No. 1
{"formula": "Sr2ZnBi2", "functional": "PBE", "state": "relaxed", "lattice": [[9.587, 0.000, 0.000], [0.000, 8.309, 0.000], [0.000, 0.000, 8.738]], "species": ["Sr", "Sr", "Sr", "Sr", "Sr", "Sr", "Sr", "Sr", "Zn", "Zn", "Zn", "Zn", "Bi", "Bi", "Bi", "Bi", "Bi", "Bi", "Bi", "Bi"], "frac_coords": [[0.107, 0.250, 0.000], [0.107, 0.250, 0.500], [0.364, 0.750, 0.000], [0.364, 0.750, 0.500], [0.636, 0.250, 0.000], [0.636, 0.250, 0.500], [0.893, 0.750, 0.000], [0.893, 0.750, 0.500], [0.382, 0.080, 0.250], [0.382, 0.420, 0.750], [0.618, 0.580, 0.250], [0.618, 0.920, 0.750], [0.130, 0.573, 0.750], [0.130, 0.927, 0.250], [0.364, 0.086, 0.750], [0.364, 0.414, 0.250], [0.636, 0.586, 0.750], [0.636, 0.914, 0.250], [0.870, 0.073, 0.750], [0.870, 0.427, 0.250]], "volume_a3_per_atom": 34.80, "formation_enthalpy_0k_kj_per_mol_fu": -336.3, "dos_at_fermi_per_ev_fu": 0.09}

=====

No. 2
{"formula": "SrZnBi3", "functional": "PBE", "state": "relaxed", "lattice": [[6.148, 0.000, 0.000], [0.000, 6.148, 0.000], [0.000, 0.000, 6.148]], "species": ["Sr", "Zn", "Bi", "Bi", "Bi"], "frac_coords": [[0.000, 0.000, 0.000], [0.500, 0.500, 0.500], [0.000, 0.000, 0.500], [0.000, 0.500, 0.000], [0.500, 0.000, 0.000]], "polymorph_energy_ev_per_fu": 5.15, "volume_a3_per_atom": 46.49, "formation_enthalpy_0k_kj_per_mol_fu": 368.5, "dos_at_fermi_per_ev_fu": 3.43}

=====

No. 3
{"formula": "Sr2ZnBi2", "functional": "PBE", "state": "relaxed", "lattice": [[-3.371, 3.371, 4.664], [3.371, -3.371, 4.664], [3.371, 3.371, -4.664]], "species": ["Sr", "Sr", "Zn", "Bi", "Bi"], "frac_coords": [[0.250, 0.750, 0.500], [0.750, 0.250, 0.500], [0.000, 0.000, 0.000], [0.289, 0.289, 0.000], [0.711, 0.711, 0.000]], "volume_a3_per_atom": 42.40, "formation_enthalpy_0k_kj_per_mol_fu": -184.6, "dos_at_fermi_per_ev_fu": 0.57}